Crystalline BaSnH2F8 at its relaxed geometry. Source: Alexandria via LeMat-Bulk, functional PBE-GGA.

Unit cell a=4.9815 b=5.0151 c=7.7498 alpha=94.21 beta=96.62 gamma=109.78
Last column: nearest neighbours and their distance in Å.
Sites, in units of the cell vectors:
Ba 0.0000 0.0000 0.0000  6 F 2.56-2.77
Sn 0.0000 0.0000 0.5000  6 F 1.93-2.12
H 0.3103 0.5354 0.8131  1 F 1.03
H 0.6897 0.4646 0.1869  1 F 1.03
F 0.2077 0.2177 0.3176  1 Sn 2.01
F 0.2447 0.2719 0.7289  1 H 1.35
F 0.2466 0.7740 0.5145  1 Sn 1.93
F 0.3470 0.6938 0.9152  1 H 1.03
F 0.6530 0.3062 0.0848  1 H 1.03
F 0.7534 0.2260 0.4855  1 Sn 1.93
F 0.7553 0.7281 0.2711  1 H 1.35
F 0.7923 0.7823 0.6824  1 Sn 2.01

Final energy, eV per atom: -4.792
Magnetization, μB/f.u.: 0.00
SG: P-1